# Rb2ZnIn

An optimized crystal structure of Rb2ZnIn (PBE-GGA, Alexandria).

Lattice parameters (Å, degrees): 10.0792 10.0792 10.0792 93.52 93.52 151.30
Last column: nearest neighbours and their distance in Å.
Positions (direct):
Rb: 0.3750 0.1816 0.3066  2 Zn 3.59, 2 In 4.00
Rb: 0.8184 0.1250 0.1934  2 Zn 3.59, 2 In 4.00
Rb: 0.8750 0.0684 0.6934  2 Zn 3.59, 2 In 4.00
Rb: 0.9316 0.6250 0.8066  2 Zn 3.59, 2 In 4.00
Zn: 0.0000 0.0000 0.0000  2 In 2.50
Zn: 0.7500 0.2500 0.5000  2 In 2.50
In: 0.2500 0.7500 0.5000  2 Zn 2.50
In: 0.5000 0.5000 0.0000  2 Zn 2.50

Summary:
VASP energy: -10.85 eV per cell
ΔE_f: 0.130 eV/atom
magnetic moment: 0.00 μB/f.u.

=====

# Rb2Zn3In6

An optimized crystal structure of Rb2Zn3In6 (PBE-GGA, Alexandria).

Lattice parameters (Å, degrees): 8.8398 8.8398 4.6507 90.00 90.00 120.00
Last column: nearest neighbours and their distance in Å.
Positions (direct):
Rb: 0.3333 0.6667 0.0000  6 Zn 3.65, 9 In 3.69-3.85
Rb: 0.6667 0.3333 0.0000  6 Zn 3.65, 9 In 3.69-3.85
Zn: 0.0000 0.6337 0.5000  5 In 2.76-3.01
Zn: 0.3663 0.3663 0.5000  5 In 2.76-3.01
Zn: 0.6337 0.0000 0.5000  5 In 2.76-3.01
In: 0.0000 0.3073 0.5000  3 Zn 2.89-3.01
In: 0.0000 0.8018 0.0000  2 Zn 2.76, 2 In 3.03
In: 0.1982 0.1982 0.0000  2 Zn 2.76, 2 In 3.03
In: 0.3073 0.0000 0.5000  3 Zn 2.89-3.01
In: 0.6927 0.6927 0.5000  3 Zn 2.89-3.01
In: 0.8018 0.0000 0.0000  2 Zn 2.76, 2 In 3.03

Summary:
VASP energy: -22.54 eV per cell
ΔE_f: -0.032 eV/atom
magnetic moment: 0.00 μB/f.u.

=====

# Rb2Zn2In

An optimized crystal structure of Rb2Zn2In (PBE-GGA, Alexandria).

Lattice parameters (Å, degrees): 12.5434 12.5434 12.5434 162.62 162.62 24.67
Last column: nearest neighbours and their distance in Å.
Positions (direct):
Rb: 0.1173 0.1173 0.0000  4 Zn 3.76, 4 Rb 3.79, 4 In 3.93
Rb: 0.8827 0.8827 0.0000  4 Zn 3.76, 4 Rb 3.79, 4 In 3.93
Zn: 0.2500 0.7500 0.5000  4 Zn 2.68
Zn: 0.7500 0.2500 0.5000  4 Zn 2.68
In: 0.5000 0.5000 0.0000  4 In 3.79, 8 Rb 3.93

Summary:
VASP energy: -6.39 eV per cell
ΔE_f: 0.166 eV/atom
magnetic moment: 0.00 μB/f.u.